VASP calculation (GGA-PBE) on a geometry-optimized K2CdCoRu structure.

Lattice parameters (Å, degrees): 5.8524 5.8524 5.2543 90.00 90.00 90.00
Space group P4/mmm (No. 123)
Inequivalent atoms, fractional coordinates:
K (0.0000, 0.5000, 0.0000)
Cd (0.0000, 0.0000, 0.5000)
Co (0.5000, 0.5000, 0.5000)
Ru (0.0000, 0.0000, 0.0000)

Calculated values
The value obtained for the theoretical density is 3.2 g/cm3. As for the formation energy: 1.476 eV per atom.


VASP calculation (GGA-PBE) on a geometry-optimized AlAs2Au structure.

Lattice parameters (Å, degrees): 5.8006 5.8006 11.5880 90.00 90.00 90.00
Space group I-42d (No. 122)
Inequivalent atoms, fractional coordinates:
Al (0.0000, 0.0000, 0.0000)
As (0.2432, 0.2500, 0.1250)
Au (0.0000, 0.0000, 0.5000)

Calculated values
The value obtained for the theoretical density is 6.4 g/cm3. As for the formation energy: -0.043 eV per atom.


VASP calculation (GGA-PBE) on a geometry-optimized K2CaTa structure.

Lattice parameters (Å, degrees): 8.6668 8.6668 8.6668 90.00 90.00 90.00
Space group Fm-3m (No. 225)
Inequivalent atoms, fractional coordinates:
K (0.2500, 0.2500, 0.2500)
Ca (0.0000, 0.0000, 0.0000)
Ta (0.0000, 0.0000, 0.5000)

Calculated values
The value obtained for the theoretical density is 3.1 g/cm3. As for the formation energy: 1.436 eV per atom. The offset from the most stable computed form comes out at 570 meV/atom.


VASP calculation (GGA-PBE) on a geometry-optimized KLaRh2 structure.

Lattice parameters (Å, degrees): 3.6406 3.6406 8.7588 90.00 90.00 90.00
Space group P4mm (No. 99)
Inequivalent atoms, fractional coordinates:
K (0.0000, 0.0000, 0.0000)
La (0.5000, 0.5000, 0.4439)
Rh (0.0000, 0.0000, 0.6295)
Rh (0.5000, 0.5000, 0.7236)

Calculated values
The value obtained for the theoretical density is 5.5 g/cm3. As for the formation energy: 0.018 eV per atom. The offset from the most stable computed form comes out at 131 meV/atom.


VASP calculation (GGA-PBE) on a geometry-optimized RePb2F structure.

Lattice parameters (Å, degrees): 5.9036 5.9036 12.6411 90.00 90.00 90.00
Space group I-42d (No. 122)
Inequivalent atoms, fractional coordinates:
Re (0.0000, 0.0000, 0.0000)
Pb (0.2399, 0.2500, 0.6250)
F (0.0000, 0.0000, 0.5000)

Calculated values
The value obtained for the theoretical density is 9.3 g/cm3. The offset from the most stable computed form comes out at 133 meV/atom. The uncorrected formation energy comes out at 0.420 eV/atom.


VASP calculation (GGA-PBE) on a geometry-optimized Ac3ErS6 structure.

Lattice parameters (Å, degrees): 12.3161 12.3161 14.2285 90.00 90.00 120.00
Space group R-3 (No. 148, hexagonal axes)
Inequivalent atoms, fractional coordinates:
Ac (0.0468, 0.7770, 0.2002)
Er (0.0000, 0.0000, 0.0000)
Er (0.0000, 0.0000, 0.5000)
S (0.0265, 0.8221, 0.4018)
S (0.0305, 0.8421, 0.8850)

Calculated values
The value obtained for the theoretical density is 5.5 g/cm3. The offset from the most stable computed form comes out at 0 meV/atom. The uncorrected formation energy comes out at -2.153 eV/atom.


VASP calculation (GGA-PBE) on a geometry-optimized PaZnAgRh structure.

Lattice parameters (Å, degrees): 6.7350 6.7350 6.7350 90.00 90.00 90.00
Space group F-43m (No. 216)
Inequivalent atoms, fractional coordinates:
Pa (0.0000, 0.0000, 0.0000)
Zn (0.0000, 0.0000, 0.5000)
Ag (0.2500, 0.2500, 0.7500)
Rh (0.2500, 0.2500, 0.2500)

Calculated values
The value obtained for the theoretical density is 11.0 g/cm3. As for the formation energy: -0.163 eV per atom.


VASP calculation (GGA-PBE) on a geometry-optimized Th2TaIn structure.

Lattice parameters (Å, degrees): 3.2815 3.2815 34.9812 90.00 90.00 120.00
Space group R-3m (No. 166, hexagonal axes)
Inequivalent atoms, fractional coordinates:
Th (0.0000, 0.0000, 0.0844)
Ta (0.0000, 0.0000, 0.0000)
In (0.0000, 0.0000, 0.5000)

Calculated values
The value obtained for the theoretical density is 11.6 g/cm3. As for the formation energy: 0.479 eV per atom.